Entry 1:
Below is a geometry-optimized Nd2GaNi4 structure, with properties calculated at the GGA-PBE level.

abc: 7.703 10.599 4.068
angles: 90.00 90.00 90.00
Space group Cmmm (No. 65)
One atom of each set of equivalent atoms:
Nd  0.250  0.250  0.000 (multiplicity 4)
Ga  0.000  0.000  0.500 (multiplicity 2)
Ni  0.000  0.220  0.500 (multiplicity 4)
Ni  0.156  0.000  0.000 (multiplicity 4)

Output
- calculated formation energy (meV/atom) = 322



Entry 2:
Below is a geometry-optimized Cs2Cu2RuO6 structure, with properties calculated at the GGA-PBE level.

abc: 5.8656 5.8656 18.8483
angles: 90.00 90.00 120.00
Space group R-3m (No. 166, hexagonal axes)
One atom of each set of equivalent atoms:
Cs  0.0000  0.0000  0.2121 (multiplicity 6)
Cu  0.0000  0.0000  0.3873 (multiplicity 6)
Ru  0.0000  0.0000  0.0000 (multiplicity 3)
O  0.0266  0.5133  0.7281 (multiplicity 18)

Output
- formation energy without anion corrections (eV per atom) = -0.94



Entry 3:
Below is a geometry-optimized GaBiNO2 structure, with properties calculated at the GGA-PBE level.

abc: 3.912 3.912 3.971
angles: 90.00 90.00 90.00
Space group P4/mmm (No. 123)
One atom of each set of equivalent atoms:
Ga  0.000  0.000  0.000 (multiplicity 1)
Bi  0.500  0.500  0.500 (multiplicity 1)
N  0.000  0.000  0.500 (multiplicity 1)
O  0.000  0.500  0.000 (multiplicity 2)

Output
- formation energy without anion corrections (eV per atom) = -0.39



Entry 4:
Below is a geometry-optimized Sr2LaGa3Pt4 structure, with properties calculated at the GGA-PBE level.

abc: 4.509 4.509 11.141
angles: 90.00 90.00 90.00
Space group P-4m2 (No. 115)
One atom of each set of equivalent atoms:
Sr  0.000  0.500  0.220 (multiplicity 2)
La  0.000  0.000  0.500 (multiplicity 1)
Ga  0.000  0.500  0.888 (multiplicity 2)
Ga  0.500  0.500  0.500 (multiplicity 1)
Pt  0.000  0.000  0.000 (multiplicity 1)
Pt  0.000  0.500  0.659 (multiplicity 2)
Pt  0.500  0.500  0.000 (multiplicity 1)

Output
- calculated formation energy (meV/atom) = -855



Entry 5:
Below is a geometry-optimized Pd2SeS structure, with properties calculated at the GGA-PBE level.

abc: 5.110 5.110 12.808
angles: 90.00 90.00 90.00
Space group I-42d (No. 122)
One atom of each set of equivalent atoms:
Pd  0.211  0.250  0.125 (multiplicity 8)
Se  0.000  0.000  0.500 (multiplicity 4)
S  0.000  0.000  0.000 (multiplicity 4)

Output
- formation energy without anion corrections (eV per atom) = -0.11



Entry 6:
Below is a geometry-optimized Ba6P2N structure, with properties calculated at the GGA-PBE level.

abc: 7.402 8.586 12.845
angles: 90.00 124.25 90.00
Space group P2_1/c (No. 14)
One atom of each set of equivalent atoms:
Ba  0.105  0.041  0.239 (multiplicity 4)
Ba  0.218  0.702  0.065 (multiplicity 4)
Ba  0.373  0.158  0.066 (multiplicity 4)
P  0.305  0.114  0.747 (multiplicity 4)
N  0.000  0.000  0.000 (multiplicity 2)

Output
- formation energy without anion corrections (eV per atom) = -0.65



Entry 7:
Below is a geometry-optimized NpMn2TlCl8 structure, with properties calculated at the GGA-PBE level.

abc: 6.4646 6.4646 30.5821
angles: 90.00 90.00 120.00
Space group R32 (No. 155, hexagonal axes)
One atom of each set of equivalent atoms:
Np  0.0000  0.0000  0.0000 (multiplicity 3)
Mn  0.0000  0.0000  0.2478 (multiplicity 6)
Tl  0.0000  0.0000  0.5000 (multiplicity 3)
Cl  0.0000  0.0000  0.1736 (multiplicity 6)
Cl  0.0031  0.3462  0.7247 (multiplicity 18)

Output
- formation energy without anion corrections (eV per atom) = -1.22



Entry 8:
Below is a geometry-optimized KAcGe4 structure, with properties calculated at the GGA-PBE level.

abc: 8.465 8.465 8.465
angles: 90.00 90.00 90.00
Space group F-43m (No. 216)
One atom of each set of equivalent atoms:
K  0.000  0.000  0.000 (multiplicity 4)
Ac  0.250  0.250  0.750 (multiplicity 4)
Ge  0.114  0.114  0.386 (multiplicity 16)

Output
- calculated formation energy (meV/atom) = -275



Entry 9:
Below is a geometry-optimized Li4Pr3Si4 structure, with properties calculated at the GGA-PBE level.

abc: 4.438 6.792 14.751
angles: 90.00 90.00 90.00
Space group Immm (No. 71)
One atom of each set of equivalent atoms:
Li  0.000  0.190  0.170 (multiplicity 8)
Pr  0.000  0.000  0.368 (multiplicity 4)
Pr  0.000  0.500  0.500 (multiplicity 2)
Si  0.000  0.324  0.000 (multiplicity 4)
Si  0.000  0.500  0.287 (multiplicity 4)

Output
- formation energy without anion corrections (eV per atom) = -0.54



Entry 10:
Below is a geometry-optimized SrLi4ZnIn2 structure, with properties calculated at the GGA-PBE level.

abc: 4.6946 4.6946 27.7601
angles: 90.00 90.00 120.00
Space group R-3m (No. 166, hexagonal axes)
One atom of each set of equivalent atoms:
Sr  0.0000  0.0000  0.0000 (multiplicity 3)
Li  0.0000  0.0000  0.1358 (multiplicity 6)
Li  0.0000  0.0000  0.4086 (multiplicity 6)
Zn  0.0000  0.0000  0.5000 (multiplicity 3)
In  0.0000  0.0000  0.2411 (multiplicity 6)

Output
- calculated formation energy (meV/atom) = -208



Entry 11:
Below is a geometry-optimized YTmCo structure, with properties calculated at the GGA-PBE level.

abc: 3.351 3.351 12.514
angles: 90.00 90.00 90.00
Space group I4mm (No. 107)
One atom of each set of equivalent atoms:
Y  0.000  0.000  0.000 (multiplicity 2)
Tm  0.000  0.000  0.742 (multiplicity 2)
Co  0.000  0.000  0.367 (multiplicity 2)

Output
- calculated formation energy (meV/atom) = -136



Entry 12:
Below is a geometry-optimized TlCuTeI2 structure, with properties calculated at the GGA-PBE level.

abc: 6.093 6.093 5.807
angles: 90.00 90.00 90.00
Space group P4/mmm (No. 123)
One atom of each set of equivalent atoms:
Tl  0.000  0.000  0.000 (multiplicity 1)
Cu  0.500  0.500  0.500 (multiplicity 1)
Te  0.000  0.000  0.500 (multiplicity 1)
I  0.000  0.500  0.000 (multiplicity 2)

Output
- formation energy without anion corrections (eV per atom) = 0.64



The records above yield spin magnetization values of 0.0 0.2 0.9 0.0 0.0 1.0 6.0 0.0 0.0 0.0 0.7 0.0 μB/f.u., respectively.